This record from Alexandria describes MgCr2Mo2 after structural relaxation. The functional is PBE-GGA.

```
MgCr2Mo2
1.0
3.938 0.000 0.000
0.000 3.938 0.000
1.969 1.969 5.477
Cr Mo Mg
2 2 1
direct
0.750 0.250 0.500 Cr
0.250 0.750 0.500 Cr
0.378 0.378 0.244 Mo
0.622 0.622 0.756 Mo
0.000 0.000 0.000 Mg
```

SG: I4/mmm, No. 139
Formation energy: 318 kJ/mol of formula units
Calculated volume: 85 Å³ per cell

---

This record from Alexandria describes CaPu5Ru6 after structural relaxation. The functional is PBE-GGA.

```
CaPu5Ru6
1.0
-3.486 -3.185 0.705
4.345 -3.975 3.416
-2.191 6.846 3.981
Ru Ca Pu
6 1 5
direct
0.827 0.562 0.654 Ru
0.827 0.092 0.654 Ru
0.499 0.731 0.000 Ru
0.501 0.269 0.000 Ru
0.173 0.908 0.346 Ru
0.173 0.438 0.346 Ru
0.000 0.000 0.000 Ca
0.662 0.162 0.323 Pu
0.329 0.329 0.659 Pu
0.000 0.500 0.000 Pu
0.671 0.671 0.341 Pu
0.338 0.838 0.677 Pu
```

SG: C2/m, No. 12
Formation energy: -66 kJ/mol of formula units
Calculated volume: 230 Å³ per cell

---

This record from Alexandria describes Si2SeBr after structural relaxation. The functional is PBE-GGA.

```
Si2SeBr
1.0
-2.466 -3.929 2.980
0.176 -5.358 1.290
2.094 -3.875 6.550
Br Se Si
1 1 2
direct
0.250 0.250 0.250 Br
0.750 0.750 0.750 Se
0.021 0.021 0.850 Si
0.479 0.479 0.650 Si
```

Raw formation energy: 0.19 eV per atom
SG: C2/m, No. 12
Calculated volume: 100 Å³ per cell

---

Total moment (μB/atom)
0.00; 0.36; 0.00
Density of states at the Fermi level (states/eV per cell)
5.03; 29.98; 1.24